# GaMo3Rh, optimized geometry, DFT PBE-GGA
# V ... 103.8 Å³/cell
# Space group ... No. 221
# E_tot ... -34.9 eV per cell
# Total magnetization ... 0.000 μB per formula unit
# Polymorph energy (0 for the lowest one) ... 39 meV per atom
data_GaMo3Rh
_chemical_formula_sum 'Ga1 Mo3 Rh1'
_cell_length_a 4.6995
_cell_length_b 4.6995
_cell_length_c 4.6995
_cell_angle_alpha 90.00
_cell_angle_beta 90.00
_cell_angle_gamma 90.00
_symmetry_space_group_name_H-M 'P 1'
_symmetry_Int_Tables_number 1
_symmetry_space_group_name_Hall 'P 1'
loop_
_atom_site_label
_atom_site_type_symbol
_atom_site_fract_x
_atom_site_fract_y
_atom_site_fract_z
Ga1 Ga 0.0000 0.0000 0.0000
Mo1 Mo 0.0000 0.5000 0.5000
Mo2 Mo 0.5000 0.0000 0.5000
Mo3 Mo 0.5000 0.5000 0.0000
Rh1 Rh 0.5000 0.5000 0.5000